[1]
BeCdCu2 | GGA-PBEsol | relaxed

extended XYZ file:
```
16
Lattice="5.868 0.000 0.000 0.000 5.868 0.000 0.000 0.000 5.868" Properties=species:S:1:pos:R:3 pbc="T T T"
Be 0.000 0.000 0.000
Be 0.000 2.934 2.934
Be 2.934 0.000 2.934
Be 2.934 2.934 0.000
Cd 1.467 1.467 4.401
Cd 1.467 4.401 1.467
Cd 4.401 1.467 1.467
Cd 4.401 4.401 4.401
Cu 0.000 0.000 2.934
Cu 0.000 2.934 0.000
Cu 1.467 1.467 1.467
Cu 1.467 4.401 4.401
Cu 2.934 0.000 0.000
Cu 2.934 2.934 2.934
Cu 4.401 1.467 4.401
Cu 4.401 4.401 1.467
```

Total magnetic moment in μB/cell: 0.000
Symmetry: F-43m, No. 216
Theoretical density in g/cm³: 8.2
Calculated volume in Å³ per atom: 12.63
Crystal system: cubic
Energy in eV for the cell shown: -52.96
Relative energy among the computed polymorphs in eV/f.u.: 0.67
Energy relative to the elements in meV per atom: 156



[2]
Re3RhPb | GGA-PBEsol | relaxed

extended XYZ file:
```
5
Lattice="4.798 0.000 0.000 0.000 4.798 0.000 0.000 0.000 4.798" Properties=species:S:1:pos:R:3 pbc="T T T"
Re 0.000 0.000 2.399
Re 0.000 2.399 0.000
Re 2.399 0.000 0.000
Rh 2.399 2.399 2.399
Pb 0.000 0.000 0.000
```

Total magnetic moment in μB/cell: 0.001
Symmetry: Pm-3m, No. 221
Theoretical density in g/cm³: 13.1
Calculated volume in Å³ per atom: 22.09
Crystal system: cubic
Energy in eV for the cell shown: -33.63
Energy relative to the elements in meV per atom: 3701



[3]
CaZr2Cl | GGA-PBEsol | relaxed

extended XYZ file:
```
4
Lattice="3.928 0.000 0.000 0.000 3.928 0.000 0.000 0.000 6.677" Properties=species:S:1:pos:R:3 pbc="T T T"
Ca 0.000 0.000 0.000
Zr 0.000 1.964 3.338
Zr 1.964 0.000 3.338
Cl 1.964 1.964 0.000
```

Formation energy from raw total energies in eV per atom: -0.047
Total magnetic moment in μB/cell: 0.002
Symmetry: P4/mmm, No. 123
Theoretical density in g/cm³: 4.2
Calculated volume in Å³ per atom: 25.76
Crystal system: tetragonal
Energy in eV for the cell shown: -22.51
Relative energy among the computed polymorphs in eV/f.u.: 0.00



[4]
LiOsRh2 | GGA-PBEsol | relaxed

extended XYZ file:
```
16
Lattice="5.932 0.000 0.000 0.000 5.932 0.000 0.000 0.000 5.932" Properties=species:S:1:pos:R:3 pbc="T T T"
Li 0.000 0.000 0.000
Li 0.000 2.966 2.966
Li 2.966 0.000 2.966
Li 2.966 2.966 0.000
Os 1.483 1.483 4.449
Os 1.483 4.449 1.483
Os 4.449 1.483 1.483
Os 4.449 4.449 4.449
Rh 0.000 0.000 2.966
Rh 0.000 2.966 0.000
Rh 1.483 1.483 1.483
Rh 1.483 4.449 4.449
Rh 2.966 0.000 0.000
Rh 2.966 2.966 2.966
Rh 4.449 1.483 4.449
Rh 4.449 4.449 1.483
```

Total magnetic moment in μB/cell: 0.014
Symmetry: F-43m, No. 216
Theoretical density in g/cm³: 12.8
Calculated volume in Å³ per atom: 13.05
Crystal system: cubic
Energy in eV for the cell shown: -116.92
Relative energy among the computed polymorphs in eV/f.u.: 0.75
Energy relative to the elements in meV per atom: 307



[5]
Fe5Ir3 | GGA-PBEsol | relaxed

extended XYZ file:
```
16
Lattice="7.087 0.000 0.000 0.000 7.356 0.000 0.000 0.000 3.620" Properties=species:S:1:pos:R:3 pbc="T T T"
Fe 0.000 0.000 0.000
Fe 1.738 0.000 1.810
Fe 1.772 1.839 0.000
Fe 1.772 5.517 0.000
Fe 1.806 3.678 1.810
Fe 3.543 3.678 0.000
Fe 5.281 3.678 1.810
Fe 5.315 1.839 0.000
Fe 5.315 5.517 0.000
Fe 5.349 0.000 1.810
Ir 0.000 1.772 1.810
Ir 0.000 3.678 0.000
Ir 0.000 5.584 1.810
Ir 3.543 0.000 0.000
Ir 3.543 1.906 1.810
Ir 3.543 5.449 1.810
```

Total magnetic moment in μB/cell: 1.392
Symmetry: Cmmm, No. 65
Theoretical density in g/cm³: 15.1
Calculated volume in Å³ per atom: 11.80
Crystal system: orthorhombic
Energy in eV for the cell shown: -148.83
Energy relative to the elements in meV per atom: -16



[6]
AlPtBr2 | GGA-PBEsol | relaxed

extended XYZ file:
```
12
Lattice="4.176 0.000 0.000 -2.088 3.616 0.000 0.000 0.000 16.423" Properties=species:S:1:pos:R:3 pbc="T T T"
Al 0.000 0.000 0.000
Al 0.000 2.411 10.949
Al 2.088 1.205 5.474
Pt 0.000 0.000 8.211
Pt 0.000 2.411 2.737
Pt 2.088 1.205 13.686
Br 0.000 0.000 4.006
Br 0.000 0.000 12.417
Br 0.000 2.411 6.943
Br 0.000 2.411 14.955
Br 2.088 1.205 1.468
Br 2.088 1.205 9.480
```

Formation energy from raw total energies in eV per atom: 0.220
Total magnetic moment in μB/cell: 0.000
Symmetry: R-3m, No. 166
Theoretical density in g/cm³: 7.7
Calculated volume in Å³ per atom: 20.67
Crystal system: trigonal
Energy in eV for the cell shown: -41.75
Relative energy among the computed polymorphs in eV/f.u.: 2.75



[7]
AgGeSeO2 | GGA-PBEsol | relaxed

extended XYZ file:
```
5
Lattice="3.775 0.000 0.000 0.000 3.775 0.000 0.000 0.000 5.269" Properties=species:S:1:pos:R:3 pbc="T T T"
Ag 0.000 0.000 0.000
Ge 1.887 1.887 0.000
Se 1.887 1.887 2.634
O 0.000 1.887 2.634
O 1.887 0.000 2.634
```

Formation energy from raw total energies in eV per atom: 0.084
Total magnetic moment in μB/cell: 0.000
Symmetry: P4/mmm, No. 123
Theoretical density in g/cm³: 6.4
Calculated volume in Å³ per atom: 15.02
Crystal system: tetragonal
Energy in eV for the cell shown: -22.18



[8]
BaZn3Pt | GGA-PBEsol | relaxed

extended XYZ file:
```
5
Lattice="4.859 0.000 0.000 0.000 4.859 0.000 0.000 0.000 4.859" Properties=species:S:1:pos:R:3 pbc="T T T"
Ba 0.000 0.000 0.000
Zn 0.000 2.430 2.430
Zn 2.430 0.000 2.430
Zn 2.430 2.430 0.000
Pt 2.430 2.430 2.430
```

Total magnetic moment in μB/cell: 0.000
Symmetry: Pm-3m, No. 221
Theoretical density in g/cm³: 7.6
Calculated volume in Å³ per atom: 22.95
Crystal system: cubic
Energy in eV for the cell shown: -15.82
Relative energy among the computed polymorphs in eV/f.u.: 0.12
Energy relative to the elements in meV per atom: -393